DFT (PBE) results for K2TlHgBi2 after structural relaxation.

* total moment: 0.000 μB per atom
* formation energy from the elements: -0.26 eV per atom
* Fermi-level density of states: 0.310 states/eV per atom

a b c (Å): 7.475 7.430 9.682
angles (deg): 112.56 112.71 90.00
Atoms (fractional coordinates):
Tl (0.750, 0.000, 0.000)
Tl (0.250, 0.000, 0.000)
Hg (0.750, 0.500, 0.000)
Hg (0.250, 0.500, 0.000)
Bi (0.892, 0.151, 0.783)
Bi (0.608, 0.368, 0.217)
Bi (0.392, 0.632, 0.783)
Bi (0.108, 0.849, 0.217)
K (0.660, 0.906, 0.321)
K (0.840, 0.585, 0.679)
K (0.160, 0.415, 0.321)
K (0.340, 0.094, 0.679)